[1]
Density functional theory data (PBE) for crystalline Mg2Zr3AlNiIr2 at its relaxed geometry.

**DFT total energy**: -6.798 eV per atom
**Space-group type**: Amm2 (38)
**Calculated volume**: 161.7 Å³ per cell

Unit cell a=3.508 b=7.294 c=7.294 alpha=119.96 beta=90.00 gamma=90.00
Element x y z (fractional)
Mg 0.000 0.996 0.752
Zr 0.500 0.006 0.407
Mg 0.000 0.752 0.996
Zr 0.500 0.574 0.574
Ir 0.000 0.661 0.331
Ir 0.000 0.331 0.661
Zr 0.500 0.407 0.006
Al 0.000 0.248 0.248
Ni 0.500 0.025 0.025

---

[2]
Density functional theory data (PBE) for crystalline MgSc2AlIr4 at its relaxed geometry.

**DFT total energy**: -7.531 eV per atom
**Space-group type**: P4/mmm (123)
**Calculated volume**: 125.0 Å³ per cell

Unit cell a=4.450 b=4.450 c=6.313 alpha=90.00 beta=90.00 gamma=90.00
Element x y z (fractional)
Ir 0.000 0.500 0.742
Al 0.000 0.000 0.500
Ir 0.000 0.500 0.258
Mg 0.500 0.500 0.000
Sc 0.000 0.000 0.000
Sc 0.500 0.500 0.500
Ir 0.500 0.000 0.742
Ir 0.500 0.000 0.258

---

[3]
Density functional theory data (PBE) for crystalline Mg4AlSiIr2 at its relaxed geometry.

**DFT total energy**: -4.681 eV per atom
**Space-group type**: P-6m2 (187)
**Calculated volume**: 138.6 Å³ per cell

Unit cell a=8.855 b=4.251 c=4.251 alpha=59.98 beta=90.00 gamma=90.00
Element x y z (fractional)
Mg 0.170 0.667 0.667
Si 0.500 0.000 0.000
Mg 0.331 0.333 0.333
Ir 0.000 0.333 0.333
Ir 0.500 0.667 0.667
Mg 0.830 0.667 0.667
Al 0.000 0.000 0.000
Mg 0.669 0.333 0.333

---

[4]
Density functional theory data (PBE) for crystalline MgAlSnIr at its relaxed geometry.

**Energy above the lowest structure with this stoichiometry**: 0 meV/atom
**DFT total energy**: -4.700 eV per atom
**Space-group type**: F-43m (216)
**Calculated volume**: 69.0 Å³ per cell

Unit cell a=4.605 b=4.605 c=4.605 alpha=60.00 beta=60.00 gamma=60.00
Element x y z (fractional)
Mg 0.750 0.750 0.750
Sn 0.500 0.500 0.500
Ir 0.250 0.250 0.250
Al 0.000 0.000 0.000

---

[5]
Density functional theory data (PBE) for crystalline Tm3Mg3AlIr2 at its relaxed geometry.

**DFT total energy**: -4.896 eV per atom
**Space-group type**: P-62m (189)
**Calculated volume**: 189.0 Å³ per cell

Unit cell a=7.248 b=7.248 c=4.154 alpha=90.00 beta=90.00 gamma=120.00
Element x y z (fractional)
Mg 0.748 0.000 0.000
Tm 0.573 0.573 0.500
Tm 0.000 0.427 0.500
Mg 0.000 0.748 0.000
Mg 0.252 0.252 0.000
Ir 0.333 0.667 0.000
Al 0.000 0.000 0.500
Tm 0.427 0.000 0.500
Ir 0.667 0.333 0.000

---

[6]
Density functional theory data (PBE) for crystalline TmMgAl4Ir2 at its relaxed geometry.

**DFT total energy**: -4.648 eV per atom
**Space-group type**: Amm2 (38)
**Calculated volume**: 216.3 Å³ per cell

Unit cell a=6.302 b=7.588 c=7.588 alpha=36.59 beta=90.00 gamma=90.00
Element x y z (fractional)
Al 0.716 0.910 0.910
Ir 0.000 0.799 0.799
Al 0.284 0.910 0.910
Mg 0.000 0.382 0.382
Tm 0.000 0.601 0.601
Al 0.701 0.099 0.099
Al 0.299 0.099 0.099
Ir 0.000 0.200 0.200